Below is a relaxed Be2Fe5Mo2W crystal, with properties calculated at the GGA-PBE level.

The raw total energy is -8.44 eV per atom. The calculation puts the energy relative to the elements at -5 meV per atom. The calculation puts the density of states at the Fermi level at 0.62 states/eV/atom. As for the crystal system: tetragonal. The total magnetization comes out at 1.07 μB/f.u.

Cell lengths 8.653, 8.653, 3.055 Å; angles 90.00, 90.00, 90.00 degrees
Element x y z (fractional)
Be  0.120  0.380  0.000
Be  0.380  0.880  0.000
Be  0.620  0.120  0.000
Be  0.880  0.620  0.000
Fe  0.000  0.500  0.500
Fe  0.070  0.212  0.500
Fe  0.212  0.930  0.500
Fe  0.288  0.430  0.500
Fe  0.430  0.712  0.500
Fe  0.500  0.000  0.500
Fe  0.570  0.288  0.500
Fe  0.712  0.570  0.500
Fe  0.788  0.070  0.500
Fe  0.930  0.788  0.500
Mo  0.174  0.674  0.000
Mo  0.326  0.174  0.000
Mo  0.674  0.826  0.000
Mo  0.826  0.326  0.000
W  0.000  0.000  0.000
W  0.500  0.500  0.000